This record from the Alexandria database describes an optimized crystal structure of Pm12Y2Tm5. The functional is PBE.

Unit cell a=7.090 b=11.641 c=8.705 alpha=71.38 beta=90.00 gamma=107.73
Sites, in units of the cell vectors:
Pm: 0.146 0.292 0.929
Pm: 0.053 0.599 0.794
Pm: 0.546 0.599 0.794
Pm: 0.149 0.786 0.386
Pm: 0.637 0.786 0.386
Pm: 0.452 0.903 0.692
Pm: 0.548 0.097 0.308
Pm: 0.851 0.214 0.614
Pm: 0.363 0.214 0.614
Pm: 0.947 0.401 0.206
Pm: 0.454 0.401 0.206
Pm: 0.854 0.708 0.071
Y: 0.745 0.000 0.000
Y: 0.255 0.000 0.000
Tm: 0.250 0.499 0.506
Tm: 0.349 0.699 0.097
Tm: 0.000 0.000 0.500
Tm: 0.651 0.301 0.903
Tm: 0.750 0.501 0.494

Calculated values
Polymorph energy (0 for the lowest one), meV/atom: 33
Space-group type: C2/m (12)
Formation enthalpy at 0 K, eV per atom: 0.137
VASP energy, eV/atom: -4.721